Entry from the Alexandria database: a relaxed structure of RbLi (PBE).

a b c (Å): 9.327 9.327 9.327
angles (deg): 148.71 60.54 129.59
Atoms (fractional coordinates):
Rb  0.000  0.000  0.000
Rb  0.556  0.271  0.285
Rb  0.986  0.271  0.715
Li  0.264  0.854  0.409
Li  0.445  0.854  0.591
Li  0.490  0.490  0.000

Calculated values
- Formation energy: 0.1603 eV/atom
- Space-group type: Imm2
- Density of states at the Fermi level: 0.529 states/eV per atom

***

Entry from the Alexandria database: a relaxed structure of Mn5Mo (PBE).

a b c (Å): 4.597 4.597 3.981
angles (deg): 90.00 90.00 120.00
Atoms (fractional coordinates):
Mn  0.000  0.500  0.000
Mn  0.333  0.667  0.500
Mn  0.500  0.000  0.000
Mn  0.500  0.500  0.000
Mn  0.667  0.333  0.500
Mo  0.000  0.000  0.500

Calculated values
- Formation energy: 0.2334 eV/atom
- Space-group type: P6/mmm
- Density of states at the Fermi level: 1.225 states/eV per atom
- Energy above the most stable polymorph in this dataset: 1.26 eV per formula unit